Pm2PrHo5Tm after structural relaxation, computed with PBE.

E_form   235 kJ/mol of formula units
SG   No. 140

The structure in POSCAR format:
```
Pm2PrHo5Tm
1.0
-4.3792 4.3792 7.6494
4.3792 -4.3792 7.6494
4.3792 4.3792 -7.6494
Pm Pr Ho Tm
4 2 10 2
direct
0.1159 0.6159 0.7318
0.3841 0.1159 0.5000
0.6159 0.8841 0.5000
0.8841 0.3841 0.2682
0.2500 0.2500 0.0000
0.7500 0.7500 0.0000
0.0000 0.0000 0.0000
0.0726 0.1540 0.5000
0.1540 0.6540 0.0814
0.3460 0.4274 0.5000
0.4274 0.9274 0.0814
0.5000 0.5000 0.0000
0.5726 0.0726 0.9186
0.6540 0.5726 0.5000
0.8460 0.3460 0.9186
0.9274 0.8460 0.5000
0.2500 0.7500 0.5000
0.7500 0.2500 0.5000
```

---

Nb4RuRh3 after structural relaxation, computed with PBE.

E_form   -265 kJ/mol of formula units
SG   No. 123

The structure in POSCAR format:
```
Nb4RuRh3
1.0
2.9037 0.0000 0.0000
0.0000 2.9037 0.0000
0.0000 0.0000 15.2369
Nb Ru Rh
4 1 3
direct
0.0000 0.0000 0.1211
0.0000 0.0000 0.3744
0.0000 0.0000 0.6256
0.0000 0.0000 0.8789
0.5000 0.5000 0.0000
0.5000 0.5000 0.2475
0.5000 0.5000 0.5000
0.5000 0.5000 0.7525
```

---

BaCoP2 after structural relaxation, computed with PBE.

E_form   185 kJ/mol of formula units
Relative energy among the computed polymorphs   1.087 eV/atom
SG   No. 123

The structure in POSCAR format:
```
BaCoP2
1.0
4.4930 0.0000 0.0000
0.0000 4.4930 0.0000
0.0000 0.0000 4.3080
Ba Co P
1 1 2
direct
0.0000 0.0000 0.0000
0.5000 0.5000 0.0000
0.0000 0.5000 0.5000
0.5000 0.0000 0.5000
```

---

Li8Ag2Hg after structural relaxation, computed with PBE.

E_form   -135 kJ/mol of formula units
Relative energy among the computed polymorphs   0.070 eV/atom
SG   No. 12

The structure in POSCAR format:
```
Li8Ag2Hg
1.0
3.7193 -6.3630 0.0000
3.7193 6.3630 0.0000
-2.3081 0.0000 4.2306
Li Ag Hg
8 2 1
direct
0.0921 0.3223 0.6307
0.2168 0.7832 0.0000
0.3223 0.0921 0.6307
0.3967 0.3967 0.1937
0.6033 0.6033 0.8063
0.6777 0.9079 0.3693
0.7832 0.2168 0.0000
0.9079 0.6777 0.3693
0.3100 0.6900 0.5000
0.6900 0.3100 0.5000
0.0000 0.0000 0.0000
```

---

Ta after structural relaxation, computed with PBE.

E_form   21 kJ/mol of formula units
Relative energy among the computed polymorphs   0.220 eV/atom
SG   No. 191

The structure in POSCAR format:
```
Ta
1.0
4.8678 0.0000 0.0000
-2.4339 4.2157 0.0000
0.0000 0.0000 2.7174
Ta
3
direct
0.0000 0.0000 0.0000
0.3333 0.6667 0.5000
0.6667 0.3333 0.5000
```

---

NdSm8Er6 after structural relaxation, computed with PBE.

E_form   190 kJ/mol of formula units
SG   No. 148

The structure in POSCAR format:
```
NdSm8Er6
1.0
4.5331 2.6172 6.9397
-4.5331 2.6172 6.9397
0.0000 -5.2344 6.9397
Nd Sm Er
1 8 6
direct
0.0000 0.0000 0.0000
0.1124 0.7494 0.7176
0.2506 0.2824 0.8876
0.2824 0.8876 0.2506
0.4227 0.4227 0.4227
0.5773 0.5773 0.5773
0.7176 0.1124 0.7494
0.7494 0.7176 0.1124
0.8876 0.2506 0.2824
0.0985 0.2472 0.5364
0.2472 0.5364 0.0985
0.4636 0.9015 0.7528
0.5364 0.0985 0.2472
0.7528 0.4636 0.9015
0.9015 0.7528 0.4636
```

---

Dy2HgIr2 after structural relaxation, computed with PBE.

E_form   -326 kJ/mol of formula units
SG   No. 71

The structure in POSCAR format:
```
Dy2HgIr2
1.0
4.4512 0.0000 0.0000
0.0000 5.9602 0.0000
0.0000 0.0000 8.1556
Dy Hg Ir
4 2 4
direct
0.0000 0.0000 0.2092
0.0000 0.0000 0.7908
0.5000 0.5000 0.2908
0.5000 0.5000 0.7092
0.0000 0.5000 0.0000
0.5000 0.0000 0.5000
0.0000 0.2900 0.5000
0.0000 0.7100 0.5000
0.5000 0.2100 0.0000
0.5000 0.7900 0.0000
```

---

YTlSb2 after structural relaxation, computed with PBE.

Raw formation energy   -0.18 eV per atom
Relative energy among the computed polymorphs   0.318 eV/atom
SG   No. 122

The structure in POSCAR format:
```
YTlSb2
1.0
6.9771 0.0000 0.0000
0.0000 6.9771 0.0000
0.0000 0.0000 13.4303
Y Tl Sb
4 4 8
direct
0.0000 0.0000 0.0000
0.0000 0.5000 0.2500
0.5000 0.0000 0.7500
0.5000 0.5000 0.5000
0.0000 0.0000 0.5000
0.0000 0.5000 0.7500
0.5000 0.0000 0.2500
0.5000 0.5000 0.0000
0.2404 0.2500 0.6250
0.2500 0.7404 0.8750
0.2500 0.7596 0.3750
0.2596 0.2500 0.1250
0.7404 0.7500 0.1250
0.7500 0.2404 0.3750
0.7500 0.2596 0.8750
0.7596 0.7500 0.6250
```

---

Pr8Sm3Er3 after structural relaxation, computed with PBE.

E_form   138 kJ/mol of formula units
SG   No. 71

The structure in POSCAR format:
```
Pr8Sm3Er3
1.0
-2.8799 5.4890 7.6984
2.8799 -5.4890 7.6984
2.8799 5.4890 -7.6984
Pr Sm Er
8 3 3
direct
0.0600 0.3965 0.6635
0.0647 0.2230 0.8417
0.2670 0.6035 0.6635
0.3813 0.2230 0.1583
0.6187 0.7770 0.8417
0.7330 0.3965 0.3365
0.9353 0.7770 0.1583
0.9400 0.6035 0.3365
0.3209 0.8209 0.5000
0.5000 0.5000 0.0000
0.6791 0.1791 0.5000
0.0000 0.0000 0.0000
0.3013 0.0000 0.3013
0.6987 0.0000 0.6987
```

---

LaTh2Al6 after structural relaxation, computed with PBE.

E_form   -395 kJ/mol of formula units
SG   No. 191

The structure in POSCAR format:
```
LaTh2Al6
1.0
7.6709 0.0000 0.0000
-3.8355 6.6432 0.0000
0.0000 0.0000 4.2382
La Th Al
1 2 6
direct
0.0000 0.0000 0.0000
0.3333 0.6667 0.0000
0.6667 0.3333 0.0000
0.0000 0.3349 0.5000
0.0000 0.6651 0.5000
0.3349 0.0000 0.5000
0.3349 0.3349 0.5000
0.6651 0.0000 0.5000
0.6651 0.6651 0.5000
```

---

PuCdH8Pt2 after structural relaxation, computed with PBE.

SG   No. 148

The structure in POSCAR format:
```
PuCdH8Pt2
1.0
2.4523 1.4158 5.9029
-2.4523 1.4158 5.9029
0.0000 -2.8316 5.9029
Pu Cd H Pt
1 1 8 2
direct
0.0000 0.0000 0.0000
0.5000 0.5000 0.5000
0.0877 0.4035 0.8064
0.1936 0.9123 0.5965
0.3295 0.3295 0.3295
0.4035 0.8064 0.0877
0.5965 0.1936 0.9123
0.6705 0.6705 0.6705
0.8064 0.0877 0.4035
0.9123 0.5965 0.1936
0.2388 0.2388 0.2388
0.7612 0.7612 0.7612
```

---

MgBePd2 after structural relaxation, computed with PBE.

E_form   -149 kJ/mol of formula units
Relative energy among the computed polymorphs   0.249 eV/atom
SG   No. 122

The structure in POSCAR format:
```
MgBePd2
1.0
6.6462 0.0000 0.0000
0.0000 6.6462 0.0000
0.0000 0.0000 5.4179
Mg Be Pd
4 4 8
direct
0.0000 0.0000 0.0000
0.0000 0.5000 0.2500
0.5000 0.0000 0.7500
0.5000 0.5000 0.5000
0.0000 0.0000 0.5000
0.0000 0.5000 0.7500
0.5000 0.0000 0.2500
0.5000 0.5000 0.0000
0.1858 0.7500 0.6250
0.2500 0.1858 0.3750
0.2500 0.3142 0.8750
0.3142 0.7500 0.1250
0.6858 0.2500 0.1250
0.7500 0.6858 0.8750
0.7500 0.8142 0.3750
0.8142 0.2500 0.6250
```

---

ReAs2Cl after structural relaxation, computed with PBE.

Raw formation energy   0.51 eV per atom
Relative energy among the computed polymorphs   0.456 eV/atom
SG   No. 35

The structure in POSCAR format:
```
ReAs2Cl
1.0
2.7979 0.0000 0.0000
0.0000 5.2327 0.0000
0.0000 0.0000 11.2521
Re As Cl
2 4 2
direct
0.0000 0.0000 0.0000
0.5000 0.5000 0.0000
0.0000 0.0000 0.5045
0.0000 0.5000 0.1995
0.5000 0.0000 0.1995
0.5000 0.5000 0.5045
0.0000 0.5000 0.8267
0.5000 0.0000 0.8267
```

---

BaTc2Os after structural relaxation, computed with PBE.

E_form   329 kJ/mol of formula units
Relative energy among the computed polymorphs   0.144 eV/atom
SG   No. 123

The structure in POSCAR format:
```
BaTc2Os
1.0
2.9239 0.0000 0.0000
0.0000 2.9239 0.0000
0.0000 0.0000 9.0325
Ba Tc Os
1 2 1
direct
0.0000 0.0000 0.0000
0.5000 0.5000 0.3094
0.5000 0.5000 0.6906
0.0000 0.0000 0.5000
```

---

Ba2NdAg3O6 after structural relaxation, computed with PBE.

Raw formation energy   -1.55 eV per atom
SG   No. 123

The structure in POSCAR format:
```
Ba2NdAg3O6
1.0
4.1438 0.0000 0.0000
0.0000 4.1438 0.0000
0.0000 0.0000 12.7140
Ba Nd Ag O
2 1 3 6
direct
0.0000 0.0000 0.2019
0.0000 0.0000 0.7981
0.0000 0.0000 0.5000
0.5000 0.5000 0.0000
0.5000 0.5000 0.3627
0.5000 0.5000 0.6373
0.0000 0.5000 0.3828
0.0000 0.5000 0.6172
0.5000 0.0000 0.3828
0.5000 0.0000 0.6172
0.5000 0.5000 0.1616
0.5000 0.5000 0.8384
```

---

CeNd2Au after structural relaxation, computed with PBE.

E_form   -87 kJ/mol of formula units
Relative energy among the computed polymorphs   0.095 eV/atom
SG   No. 123

The structure in POSCAR format:
```
CeNd2Au
1.0
5.5190 0.0000 0.0000
0.0000 5.5190 0.0000
0.0000 0.0000 3.5881
Ce Nd Au
1 2 1
direct
0.0000 0.0000 0.0000
0.0000 0.5000 0.5000
0.5000 0.0000 0.5000
0.5000 0.5000 0.0000
```

---

TbNdCuPt after structural relaxation, computed with PBE.

E_form   -262 kJ/mol of formula units
Relative energy among the computed polymorphs   0.053 eV/atom
SG   No. 216

The structure in POSCAR format:
```
TbNdCuPt
1.0
7.1059 0.0000 0.0000
0.0000 7.1059 0.0000
0.0000 0.0000 7.1059
Tb Nd Cu Pt
4 4 4 4
direct
0.0000 0.0000 0.0000
0.0000 0.5000 0.5000
0.5000 0.0000 0.5000
0.5000 0.5000 0.0000
0.0000 0.0000 0.5000
0.0000 0.5000 0.0000
0.5000 0.0000 0.0000
0.5000 0.5000 0.5000
0.2500 0.2500 0.7500
0.2500 0.7500 0.2500
0.7500 0.2500 0.2500
0.7500 0.7500 0.7500
0.2500 0.2500 0.2500
0.2500 0.7500 0.7500
0.7500 0.2500 0.7500
0.7500 0.7500 0.2500
```

---

CoAgP2 after structural relaxation, computed with PBE.

E_form   20 kJ/mol of formula units
Relative energy among the computed polymorphs   0.014 eV/atom
SG   No. 10

The structure in POSCAR format:
```
CoAgP2
1.0
2.7983 0.0000 0.0000
0.0000 2.7650 0.0000
-0.0122 0.0000 7.5721
Co Ag P
1 1 2
direct
0.0000 0.0000 0.0000
0.5000 0.0000 0.5000
0.4991 0.5000 0.8199
0.5009 0.5000 0.1801
```

---

Ca3Ge2SbPt9 after structural relaxation, computed with PBE.

Raw formation energy   -0.47 eV per atom
SG   No. 164

The structure in POSCAR format:
```
Ca3Ge2SbPt9
1.0
6.6106 0.0000 0.0000
-3.3053 5.7250 0.0000
0.0000 0.0000 8.9455
Ca Ge Sb Pt
3 2 1 9
direct
0.0000 0.0000 0.0000
0.3333 0.6667 0.7266
0.6667 0.3333 0.2734
0.3333 0.6667 0.1837
0.6667 0.3333 0.8163
0.0000 0.0000 0.5000
0.0000 0.5000 0.0000
0.1389 0.2778 0.2656
0.1389 0.8611 0.2656
0.2778 0.1389 0.7344
0.5000 0.0000 0.0000
0.5000 0.5000 0.0000
0.7222 0.8611 0.2656
0.8611 0.1389 0.7344
0.8611 0.7222 0.7344
```

---

Tl3Ga5I12 after structural relaxation, computed with PBE.

Raw formation energy   -0.44 eV per atom
SG   No. 230

The structure in POSCAR format:
```
Tl3Ga5I12
1.0
-9.5586 9.5586 9.5586
9.5586 -9.5586 9.5586
9.5586 9.5586 -9.5586
Tl Ga I
12 20 48
direct
0.1250 0.2500 0.3750
0.1250 0.3750 0.7500
0.2500 0.3750 0.1250
0.2500 0.8750 0.6250
0.3750 0.1250 0.2500
0.3750 0.7500 0.1250
0.6250 0.2500 0.8750
0.6250 0.8750 0.7500
0.7500 0.1250 0.3750
0.7500 0.6250 0.8750
0.8750 0.6250 0.2500
0.8750 0.7500 0.6250
0.0000 0.0000 0.0000
0.0000 0.0000 0.5000
0.0000 0.5000 0.0000
0.0000 0.5000 0.5000
0.1250 0.7500 0.8750
0.1250 0.8750 0.2500
0.2500 0.1250 0.8750
0.2500 0.6250 0.3750
0.3750 0.2500 0.6250
0.3750 0.6250 0.7500
0.5000 0.0000 0.0000
0.5000 0.0000 0.5000
0.5000 0.5000 0.0000
0.5000 0.5000 0.5000
0.6250 0.3750 0.2500
0.6250 0.7500 0.3750
0.7500 0.3750 0.6250
0.7500 0.8750 0.1250
0.8750 0.1250 0.7500
0.8750 0.2500 0.1250
0.0190 0.2074 0.1170
0.0190 0.3116 0.9020
0.0904 0.7074 0.6884
0.0904 0.8830 0.4020
0.0980 0.6170 0.4096
0.0980 0.9810 0.6884
0.1170 0.0190 0.2074
0.1170 0.5980 0.9096
0.1884 0.2074 0.5904
0.1884 0.4810 0.5980
0.2074 0.1170 0.0190
0.2074 0.5904 0.1884
0.2926 0.3116 0.9096
0.2926 0.4810 0.3830
0.3116 0.9020 0.0190
0.3116 0.9096 0.2926
0.3830 0.2926 0.4810
0.3830 0.5904 0.9020
0.4020 0.0904 0.8830
0.4020 0.8116 0.5190
0.4096 0.0980 0.6170
0.4096 0.8116 0.7926
0.4810 0.3830 0.2926
0.4810 0.5980 0.1884
0.5190 0.4020 0.8116
0.5190 0.6170 0.7074
0.5904 0.1884 0.2074
0.5904 0.9020 0.3830
0.5980 0.1884 0.4810
0.5980 0.9096 0.1170
0.6170 0.4096 0.0980
0.6170 0.7074 0.5190
0.6884 0.0904 0.7074
0.6884 0.0980 0.9810
0.7074 0.5190 0.6170
0.7074 0.6884 0.0904
0.7926 0.4096 0.8116
0.7926 0.8830 0.9810
0.8116 0.5190 0.4020
0.8116 0.7926 0.4096
0.8830 0.4020 0.0904
0.8830 0.9810 0.7926
0.9020 0.0190 0.3116
0.9020 0.3830 0.5904
0.9096 0.1170 0.5980
0.9096 0.2926 0.3116
0.9810 0.6884 0.0980
0.9810 0.7926 0.8830
```

---

Number 1: E -4.356 eV/atom. Number 2: E -9.294 eV/atom. Number 3: E -4.482 eV/atom. Number 4: E -2.065 eV/atom. Number 5: E -11.632 eV/atom. Number 6: E -4.528 eV/atom. Number 7: E -6.121 eV/atom. Number 8: E -4.446 eV/atom. Number 9: E -4.618 eV/atom. Number 10: E -5.147 eV/atom. Number 11: E -4.498 eV/atom. Number 12: E -4.312 eV/atom. Number 13: E -5.387 eV/atom. Number 14: E -7.619 eV/atom. Number 15: E -5.464 eV/atom. Number 16: E -4.912 eV/atom. Number 17: E -5.563 eV/atom. Number 18: E -5.143 eV/atom. Number 19: E -5.385 eV/atom. Number 20: E -2.482 eV/atom.